Entry from Alexandria via LeMat-Bulk: a relaxed NaNbPt3 crystal (PBEsol).

Calculated values
DOS at the Fermi energy: 3.5 states/eV/f.u.
energy of formation from the pure elements: 0.688 eV/atom

abc: 4.8692 4.8692 4.8692
angles: 90.00 90.00 90.00
Closest atoms and distances in Å follow each position.
Fractional coordinates of all 5 atoms:
Na1 0.0000 0.0000 0.0000  12 Pt 3.44
Nb1 0.5000 0.5000 0.5000  6 Pt 2.43
Pt1 0.0000 0.5000 0.5000  2 Nb 2.43
Pt2 0.5000 0.0000 0.5000  2 Nb 2.43
Pt3 0.5000 0.5000 0.0000  2 Nb 2.43